Entry 1:
An optimized crystal structure of BiWI2O, computed with PBE+U.

Geometry as POSCAR:
```
BiWI2O
1.0
6.091 0.000 0.000
0.000 6.091 0.000
0.000 0.000 3.876
I W Bi O
2 1 1 1
direct
0.500 0.000 0.000
0.000 0.500 0.000
0.000 0.000 0.000
0.500 0.500 0.500
0.000 0.000 0.500
```

Computed properties:
**Magnetic moment**: 2.82 μB/cell
**V**: 28.8 Å³/atom
**VASP energy**: -4.01 eV/atom
**Offset from the most stable computed form**: 0 meV per atom

***

Entry 2:
An optimized crystal structure of BiWI2O, computed with PBE+U.

Geometry as POSCAR:
```
BiWI2O
1.0
6.349 0.000 0.000
0.000 6.349 0.000
0.000 0.000 4.344
Bi O W I
1 1 1 2
direct
0.000 0.000 0.000
0.000 0.000 0.500
0.500 0.500 0.500
0.000 0.500 0.000
0.500 0.000 0.000
```

Computed properties:
**Magnetic moment**: 4.97 μB/cell
**V**: 35.0 Å³/atom
**VASP energy**: -3.44 eV/atom
**Offset from the most stable computed form**: 573 meV per atom

***

Q: Look up the offset from the most stable computed form of the second one.
A: 573 meV per atom